Density functional theory data (PBE-GGA) for a relaxed structure of BaTc2Te.

Output
Raw formation energy ... 1019 meV/atom
Total DFT energy (no corrections) ... -0.39911 Ry per atom

```
data_BaTc2Te
_space_group_name_H-M_alt 'I -4 m 2'
_space_group_IT_number 119
_space_group_name_Hall 'I -4 -2'
_cell_length_a 4.354
_cell_length_b 4.354
_cell_length_c 9.608
_cell_angle_alpha 90.00
_cell_angle_beta 90.00
_cell_angle_gamma 90.00
loop_
_atom_site_label
_atom_site_fract_x
_atom_site_fract_y
_atom_site_fract_z
_atom_site_occupancy
Ba1 0.000 0.000 0.000 1
Tc1 0.000 0.000 0.500 1
Tc2 0.000 0.500 0.750 1
Te1 0.000 0.500 0.250 1
```